No. 1
Density functional theory data (PBE-GGA) for an optimized crystal structure of Li2BiAu.

## Properties
As for the energy of formation: -0.2725 eV per atom. Its space group is I-42d, No. 122.

Structure (POSCAR):
```
Li2BiAu
1.0
-3.810 3.810 2.950
3.810 -3.810 2.950
3.810 3.810 -2.950
Li Bi Au
4 2 2
Direct
0.089 0.625 0.964
0.375 0.339 0.464
0.661 0.125 0.036
0.875 0.911 0.536
0.250 0.750 0.500
0.500 0.500 0.000
0.000 0.000 0.000
0.750 0.250 0.500
```



No. 2
Density functional theory data (PBE-GGA) for an optimized crystal structure of Pr2Cd3Si2.

## Properties
Its formation energy without anion corrections is -432 meV per atom. Its space group is Cmmm, No. 65.

Structure (POSCAR):
```
Pr2Cd3Si2
1.0
1.935 -10.439 0.000
1.935 10.439 0.000
0.000 0.000 4.231
Pr Cd Si
2 3 2
Direct
0.169 0.831 0.000
0.831 0.169 0.000
0.000 0.000 0.000
0.428 0.572 0.500
0.572 0.428 0.500
0.283 0.717 0.500
0.717 0.283 0.500
```



No. 3
Density functional theory data (PBE-GGA) for an optimized crystal structure of Pr2DyY2Ho4.

## Properties
As for the energy of formation: -0.0020 eV per atom. Its space group is C2/m, No. 12.

Structure (POSCAR):
```
Pr2DyY2Ho4
1.0
9.369 -1.806 0.000
9.369 1.806 0.000
-4.163 0.000 8.642
Pr Dy Y Ho
2 1 2 4
Direct
0.165 0.165 0.000
0.835 0.835 0.000
0.500 0.500 0.000
0.354 0.354 0.339
0.646 0.646 0.661
0.019 0.019 0.334
0.315 0.315 0.663
0.685 0.685 0.337
0.981 0.981 0.666
```



No. 4
Density functional theory data (PBE-GGA) for an optimized crystal structure of Er2CdC.

## Properties
As for the energy of formation: -0.1452 eV per atom. Its space group is Ima2, No. 46.

Structure (POSCAR):
```
Er2CdC
1.0
-2.495 5.079 3.667
2.495 -5.079 3.667
2.495 5.079 -3.667
Er Cd C
4 2 2
Direct
0.105 0.250 0.355
0.491 0.948 0.042
0.895 0.750 0.645
0.906 0.448 0.958
0.372 0.202 0.670
0.532 0.702 0.330
0.109 0.738 0.871
0.866 0.238 0.129
```



No. 5
Density functional theory data (PBE-GGA) for an optimized crystal structure of Nd2HCl.

## Properties
The calculation puts the energy relative to the lowest polymorph listed for this composition at 158 meV/atom. Its space group is R3m, No. 160.

Structure (POSCAR):
```
Nd2HCl
1.0
1.763 1.018 7.947
-1.763 1.018 7.947
0.000 -2.035 7.947
Nd H Cl
2 1 1
Direct
0.000 0.000 0.000
0.144 0.144 0.144
0.396 0.396 0.396
0.574 0.574 0.574
```



No. 6
Density functional theory data (PBE-GGA) for an optimized crystal structure of Dy4GaAu.

## Properties
As for the energy of formation: -0.3098 eV per atom. Its space group is Cmc2_1, No. 36.

Structure (POSCAR):
```
Dy4GaAu
1.0
2.575 -10.793 0.000
2.575 10.793 0.000
0.000 0.000 6.263
Dy Ga Au
8 2 2
Direct
0.060 0.940 0.500
0.190 0.810 0.789
0.216 0.784 0.307
0.378 0.622 0.571
0.622 0.378 0.071
0.784 0.216 0.807
0.810 0.190 0.289
0.940 0.060 0.000
0.339 0.661 0.046
0.661 0.339 0.546
0.072 0.928 0.011
0.928 0.072 0.511
```



Record order is preserved below.
DOS at the Fermi energy: 0.33 0.37 1.38 0.47 0.54 1.04 states/eV per atom